Material: AgRu2Pt
Method: DFT, PBE
State: optimized geometry

energy relative to the elements: 0.31 eV per atom
symmetry: R-3m

The structure in extended XYZ format:
```
4
Lattice="1.376 0.794 9.293 -1.376 0.794 9.293 0.000 -1.588 9.293" Properties=species:S:1:pos:R:3 pbc="T T T"
Ag 0.000 0.000 0.000
Ru 0.000 0.000 6.878
Ru 0.000 0.000 21.001
Pt 0.000 0.000 13.939
```


Material: AgRu2Pt2
Method: DFT, PBE
State: optimized geometry

energy relative to the elements: 0.34 eV per atom
symmetry: P4/mbm

The structure in extended XYZ format:
```
10
Lattice="7.737 0.000 0.000 0.000 7.737 0.000 0.000 0.000 2.735" Properties=species:S:1:pos:R:3 pbc="T T T"
Ag 0.000 0.000 0.000
Ag 3.869 3.869 0.000
Ru 1.344 2.525 1.367
Ru 2.525 6.393 1.367
Ru 5.213 1.344 1.367
Ru 6.393 5.213 1.367
Pt 0.959 4.827 0.000
Pt 2.910 0.959 0.000
Pt 4.827 6.779 0.000
Pt 6.779 2.910 0.000
```


Material: Ag2RuPt
Method: DFT, PBE
State: optimized geometry

energy relative to the elements: 0.41 eV per atom
symmetry: F-43m

The structure in extended XYZ format:
```
4
Lattice="0.000 3.211 3.211 3.211 0.000 3.211 3.211 3.211 0.000" Properties=species:S:1:pos:R:3 pbc="T T T"
Ag 0.000 0.000 0.000
Ag 1.605 1.605 1.605
Ru 3.211 3.211 3.211
Pt 4.816 4.816 4.816
```


Material: Ag2RuPt
Method: DFT, PBE
State: optimized geometry

energy relative to the elements: 0.43 eV per atom
symmetry: P4/mmm

The structure in extended XYZ format:
```
4
Lattice="3.877 0.000 0.000 0.000 3.877 0.000 0.000 0.000 4.404" Properties=species:S:1:pos:R:3 pbc="T T T"
Ag 0.000 1.939 0.000
Ag 1.939 0.000 0.000
Ru 0.000 0.000 2.202
Pt 1.939 1.939 2.202
```


Material: Ag2RuPt
Method: DFT, PBE
State: optimized geometry

energy relative to the elements: 0.32 eV per atom
symmetry: Cmmm

The structure in extended XYZ format:
```
4
Lattice="1.400 -2.376 0.000 1.400 2.376 0.000 0.000 0.000 9.879" Properties=species:S:1:pos:R:3 pbc="T T T"
Ag 0.000 0.000 2.452
Ag 0.000 0.000 7.427
Ru 1.400 0.000 0.000
Pt 1.400 0.000 4.939
```


Material: AgRuPt
Method: DFT, PBE
State: optimized geometry

energy relative to the elements: 0.01 eV per atom
symmetry: P4/nmm

The structure in extended XYZ format:
```
6
Lattice="2.772 0.000 0.000 0.000 2.772 0.000 0.000 0.000 12.218" Properties=species:S:1:pos:R:3 pbc="T T T"
Ag 0.693 0.693 1.105
Ag 2.079 2.079 11.113
Ru 0.693 0.693 5.225
Ru 2.079 2.079 6.992
Pt 0.693 0.693 8.945
Pt 2.079 2.079 3.272
```


Material: AgRu4Pt
Method: DFT, PBE
State: optimized geometry

energy relative to the elements: 0.64 eV per atom
symmetry: F-43m

The structure in extended XYZ format:
```
6
Lattice="0.000 3.617 3.617 3.617 0.000 3.617 3.617 3.617 0.000" Properties=species:S:1:pos:R:3 pbc="T T T"
Ag 0.000 0.000 0.000
Ru 2.714 2.714 2.714
Ru 4.519 4.519 2.714
Ru 4.519 2.714 4.519
Ru 2.714 4.519 4.519
Pt 5.425 5.425 5.425
```


Material: AgRu2Pt
Method: DFT, PBE
State: optimized geometry

energy relative to the elements: 0.36 eV per atom
symmetry: P2/m

The structure in extended XYZ format:
```
4
Lattice="4.838 0.000 0.000 0.000 2.738 0.000 -1.639 0.000 4.579" Properties=species:S:1:pos:R:3 pbc="T T T"
Ag 0.000 0.000 0.000
Ru -0.820 1.369 2.290
Ru 1.600 0.000 2.290
Pt 2.419 1.369 0.000
```


Material: AgRu2Pt2
Method: DFT, PBE
State: optimized geometry

energy relative to the elements: 0.29 eV per atom
symmetry: P4/mbm

The structure in extended XYZ format:
```
10
Lattice="7.723 0.000 0.000 0.000 7.723 0.000 0.000 0.000 2.731" Properties=species:S:1:pos:R:3 pbc="T T T"
Ag 0.000 0.000 0.000
Ag 3.862 3.862 0.000
Ru 0.895 2.967 0.000
Ru 2.967 6.828 0.000
Ru 4.757 0.895 0.000
Ru 6.828 4.757 0.000
Pt 1.392 5.254 1.366
Pt 2.469 1.392 1.366
Pt 5.254 6.331 1.366
Pt 6.331 2.469 1.366
```


Material: AgRu2Pt
Method: DFT, PBE
State: optimized geometry

energy relative to the elements: 0.40 eV per atom
symmetry: I4/mmm

The structure in extended XYZ format:
```
4
Lattice="-1.938 1.938 4.032 1.938 -1.938 4.032 1.938 1.938 -4.032" Properties=species:S:1:pos:R:3 pbc="T T T"
Ag 0.000 0.000 0.000
Ru 1.938 0.000 2.016
Ru 0.000 1.938 2.016
Pt 0.000 0.000 4.032
```


Material: Ag2RuPt
Method: DFT, PBE
State: optimized geometry

energy relative to the elements: 0.41 eV per atom
symmetry: Cmmm

The structure in extended XYZ format:
```
4
Lattice="2.737 -4.388 0.000 2.737 4.388 0.000 0.000 0.000 2.720" Properties=species:S:1:pos:R:3 pbc="T T T"
Ag 1.369 2.194 0.000
Ag 1.369 -2.194 0.000
Ru 0.000 0.000 1.360
Pt 2.737 0.000 1.360
```


Material: SiAgRu2Pt
Method: DFT, PBE
State: optimized geometry

ΔE_f (raw): 2.16 eV/atom
symmetry: P4/mmm

The structure in extended XYZ format:
```
5
Lattice="4.803 0.000 0.000 0.000 4.803 0.000 0.000 0.000 4.882" Properties=species:S:1:pos:R:3 pbc="T T T"
Si 0.000 0.000 0.000
Ag 2.401 2.401 2.441
Ru 0.000 2.401 2.441
Ru 2.401 0.000 2.441
Pt 2.401 2.401 0.000
```


The theoretical density results, record by record, are as follows: 13.8, 14.2, 12.8, 12.8, 12.9, 14.3, 12.4, 13.8, 14.3, 13.8, 13.0, 7.9 g/cm3.